1.
Material: Y6Er5Th
Method: DFT, PBE
State: optimized geometry

Unit cell a=6.1460 b=6.1460 c=11.7689 alpha=94.99 beta=94.99 gamma=119.97
Last column: nearest neighbours and their distance in Å.
Fractional coordinates of all 12 atoms:
Y1 0.0829 0.4135 0.7498  6 Y 3.52-3.56, 1 Th 3.54, 5 Er 3.54-3.56
Y2 0.2475 0.2475 0.2504  6 Y 3.52-3.56, 1 Th 3.54, 5 Er 3.55-3.56
Y3 0.4135 0.0829 0.7498  6 Y 3.52-3.56, 1 Th 3.54, 5 Er 3.54-3.56
Y4 0.5865 0.9171 0.2502  6 Y 3.52-3.56, 1 Th 3.54, 5 Er 3.54-3.56
Y5 0.7525 0.7525 0.7496  6 Y 3.52-3.56, 1 Th 3.54, 5 Er 3.55-3.56
Y6 0.9171 0.5865 0.2502  6 Y 3.52-3.56, 1 Th 3.54, 5 Er 3.54-3.56
Er1 0.1674 0.8326 0.0000  6 Er 3.54-3.56, 6 Y 3.54-3.56
Er2 0.3333 0.6667 0.5000  3 Th 3.55, 3 Er 3.55, 6 Y 3.55
Er3 0.5000 0.5000 0.0000  6 Er 3.54-3.55, 6 Y 3.55-3.56
Er4 0.6667 0.3333 0.5000  3 Th 3.55, 3 Er 3.55, 6 Y 3.55
Er5 0.8326 0.1674 0.0000  6 Er 3.54-3.56, 6 Y 3.54-3.56
Th1 0.0000 0.0000 0.5000  6 Y 3.54, 6 Er 3.55

Summary:
Final energy, eV/atom: -5.723
Density of states at the Fermi level, states/eV/cell: 16.99
Crystal system: monoclinic
Symmetry: C2/m

2.
Material: Y8Er4Th3
Method: DFT, PBE
State: optimized geometry

Unit cell a=9.2710 b=9.2710 c=6.6572 alpha=110.53 beta=110.53 gamma=86.99
Last column: nearest neighbours and their distance in Å.
Fractional coordinates of all 15 atoms:
Y1 0.1474 0.8526 0.0000  5 Y 3.49-3.76, 4 Th 3.61-3.82, 2 Er 3.64
Y2 0.2274 0.2274 0.0411  3 Th 3.23-3.42, 4 Y 3.24-3.49, 1 Er 3.46
Y3 0.2530 0.7470 0.5000  3 Er 3.15-3.36, 3 Th 3.23-3.40
Y4 0.2536 0.2536 0.5515  4 Er 3.21-3.49, 2 Y 3.24-3.44, 1 Th 3.26
Y5 0.7464 0.7464 0.4485  4 Er 3.21-3.49, 2 Y 3.24-3.44, 1 Th 3.26
Y6 0.7470 0.2530 0.5000  3 Er 3.15-3.36, 3 Th 3.23-3.40
Y7 0.7726 0.7726 0.9589  3 Th 3.23-3.42, 4 Y 3.24-3.49, 1 Er 3.46
Y8 0.8526 0.1474 0.0000  5 Y 3.49-3.76, 4 Th 3.61-3.82, 2 Er 3.64
Er1 0.0000 0.5000 0.5000  4 Y 3.21-3.36, 2 Th 3.33
Er2 0.5000 0.0000 0.5000  4 Y 3.21-3.36, 2 Th 3.33
Er3 0.5000 0.5000 0.0000  2 Y 3.21, 2 Er 3.33
Er4 0.5000 0.5000 0.5000  6 Y 3.15-3.49, 2 Er 3.33
Th1 0.0000 0.0000 0.5000  6 Y 3.23-3.42
Th2 0.0000 0.5000 0.0000  6 Y 3.23-3.61, 2 Er 3.33
Th3 0.5000 0.0000 0.0000  6 Y 3.23-3.61, 2 Er 3.33

Summary:
Final energy, eV/atom: -5.699
Density of states at the Fermi level, states/eV/cell: 30.14
Crystal system: monoclinic
Symmetry: C2/m

3.
Material: Y3Er6Th
Method: DFT, PBE
State: optimized geometry

Unit cell a=8.9148 b=8.9148 c=8.9498 alpha=90.00 beta=90.00 gamma=116.58
Last column: nearest neighbours and their distance in Å.
Fractional coordinates of all 20 atoms:
Y1 0.0525 0.9475 0.5000  1 Th 3.35, 4 Y 3.35-3.66, 5 Er 3.36-3.67
Y2 0.1899 0.3114 0.6864  7 Er 3.29-3.66, 2 Y 3.35-3.66, 1 Th 3.48
Y3 0.3114 0.1899 0.1864  7 Er 3.29-3.66, 2 Y 3.35-3.66, 1 Th 3.48
Y4 0.6886 0.8101 0.6864  7 Er 3.29-3.66, 2 Y 3.35-3.66, 1 Th 3.48
Y5 0.8101 0.6886 0.1864  7 Er 3.29-3.66, 2 Y 3.35-3.66, 1 Th 3.48
Y6 0.9475 0.0525 0.0000  1 Th 3.35, 4 Y 3.35-3.66, 5 Er 3.36-3.67
Er1 0.0288 0.3231 0.3588  3 Y 3.29-3.67, 5 Er 3.30-3.41
Er2 0.1744 0.4712 0.0184  3 Er 3.32-3.41, 3 Y 3.32-3.57, 1 Th 3.36
Er3 0.2802 0.7198 0.6258  3 Er 3.34-3.39, 1 Th 3.36, 3 Y 3.40-3.63
Er4 0.3231 0.0288 0.8588  3 Y 3.29-3.67, 5 Er 3.30-3.41
Er5 0.4461 0.5539 0.3716  4 Y 3.35-3.66, 5 Er 3.35-3.73, 1 Th 3.51
Er6 0.4712 0.1744 0.5184  3 Er 3.32-3.41, 3 Y 3.32-3.57, 1 Th 3.36
Er7 0.5288 0.8256 0.0184  3 Er 3.32-3.41, 3 Y 3.32-3.57, 1 Th 3.36
Er8 0.5539 0.4461 0.8716  4 Y 3.35-3.66, 5 Er 3.35-3.73, 1 Th 3.51
Er9 0.6769 0.9712 0.3588  3 Y 3.29-3.67, 5 Er 3.30-3.41
Er10 0.7198 0.2802 0.1258  3 Er 3.34-3.39, 1 Th 3.36, 3 Y 3.40-3.63
Er11 0.8256 0.5288 0.5184  3 Er 3.32-3.41, 3 Y 3.32-3.57, 1 Th 3.36
Er12 0.9712 0.6769 0.8588  3 Y 3.29-3.67, 5 Er 3.30-3.41
Th1 0.2239 0.7761 0.2632  3 Y 3.35-3.48, 6 Er 3.36-3.71
Th2 0.7761 0.2239 0.7632  3 Y 3.35-3.48, 6 Er 3.36-3.71

Summary:
Final energy, eV/atom: -5.271
Density of states at the Fermi level, states/eV/cell: 26.37
Crystal system: orthorhombic
Relative energy among the computed polymorphs, meV per atom: 0
Symmetry: Cmc2_1

4.
Material: Y5Er6Th
Method: DFT, PBE
State: optimized geometry

Unit cell a=9.3845 b=9.3845 c=9.3845 alpha=149.03 beta=115.50 gamma=73.26
Last column: nearest neighbours and their distance in Å.
Fractional coordinates of all 12 atoms:
Y1 0.0000 0.0000 0.0000  8 Er 3.54-3.56, 4 Y 3.54
Y2 0.1664 0.6664 0.5000  4 Y 3.54-3.56, 8 Er 3.55-3.57
Y3 0.3344 0.3344 0.0000  8 Er 3.51-3.59, 2 Th 3.53, 2 Y 3.56
Y4 0.6656 0.6656 0.0000  8 Er 3.51-3.59, 2 Th 3.53, 2 Y 3.56
Y5 0.8336 0.3336 0.5000  4 Y 3.54-3.56, 8 Er 3.55-3.57
Er1 0.0864 0.8350 0.2514  1 Th 3.52, 4 Er 3.53-3.58, 7 Y 3.53-3.59
Er2 0.2532 0.5000 0.7532  6 Y 3.51-3.57, 2 Th 3.52, 4 Er 3.53
Er3 0.4164 0.1650 0.2514  1 Th 3.52, 4 Er 3.53-3.58, 7 Y 3.53-3.59
Er4 0.5836 0.8350 0.7486  1 Th 3.52, 4 Er 3.53-3.58, 7 Y 3.53-3.59
Er5 0.7468 0.5000 0.2468  6 Y 3.51-3.57, 2 Th 3.52, 4 Er 3.53
Er6 0.9136 0.1650 0.7486  1 Th 3.52, 4 Er 3.53-3.58, 7 Y 3.53-3.59
Th1 0.5000 0.0000 0.5000  8 Er 3.52, 4 Y 3.53

Summary:
Final energy, eV/atom: -5.563
Density of states at the Fermi level, states/eV/cell: 18.80
Crystal system: orthorhombic
Symmetry: Immm

5.
Material: Y8Er3Th
Method: DFT, PBE
State: optimized geometry

Unit cell a=6.7661 b=6.7661 c=9.8950 alpha=90.00 beta=90.00 gamma=118.92
Last column: nearest neighbours and their distance in Å.
Fractional coordinates of all 12 atoms:
Y1 0.2493 0.7507 0.1865  7 Y 3.44-3.69, 3 Er 3.44-3.55, 1 Th 3.46
Y2 0.2493 0.7507 0.8135  7 Y 3.44-3.69, 3 Er 3.44-3.55, 1 Th 3.46
Y3 0.2514 0.2514 0.3121  7 Y 3.42-3.72, 3 Er 3.46-3.54, 1 Th 3.53
Y4 0.2514 0.2514 0.6879  7 Y 3.42-3.72, 3 Er 3.46-3.54, 1 Th 3.53
Y5 0.7486 0.7486 0.3121  7 Y 3.42-3.72, 3 Er 3.46-3.54, 1 Th 3.53
Y6 0.7486 0.7486 0.6879  7 Y 3.42-3.72, 3 Er 3.46-3.54, 1 Th 3.53
Y7 0.7507 0.2493 0.1865  7 Y 3.44-3.69, 3 Er 3.44-3.55, 1 Th 3.46
Y8 0.7507 0.2493 0.8135  7 Y 3.44-3.69, 3 Er 3.44-3.55, 1 Th 3.46
Er1 0.0000 0.0000 0.0000  2 Th 3.44, 8 Y 3.44-3.54
Er2 0.0000 0.5000 0.5000  2 Er 3.44, 8 Y 3.46-3.55
Er3 0.5000 0.0000 0.5000  2 Er 3.44, 8 Y 3.46-3.55
Th1 0.5000 0.5000 0.0000  2 Er 3.44, 8 Y 3.46-3.53

Summary:
Final energy, eV/atom: -5.861
Density of states at the Fermi level, states/eV/cell: 25.07
Crystal system: orthorhombic
Symmetry: Cmmm

6.
Material: YErTh
Method: DFT, PBE
State: optimized geometry

Unit cell a=6.1420 b=3.5587 c=8.6997 alpha=90.00 beta=90.17 gamma=90.00
Last column: nearest neighbours and their distance in Å.
Fractional coordinates of all 6 atoms:
Y1 0.1693 0.0000 0.3358  6 Th 3.52-3.58, 3 Y 3.54-3.56, 3 Er 3.56-3.57
Y2 0.8307 0.0000 0.6642  6 Th 3.52-3.58, 3 Y 3.54-3.56, 3 Er 3.56-3.57
Er1 0.0000 0.5000 0.0000  6 Er 3.55-3.56, 2 Th 3.55, 4 Y 3.57
Er2 0.5000 0.0000 0.0000  4 Th 3.53, 6 Er 3.55-3.56, 2 Y 3.56
Th1 0.3360 0.5000 0.6685  6 Y 3.52-3.58, 3 Er 3.53-3.55, 3 Th 3.56
Th2 0.6640 0.5000 0.3315  6 Y 3.52-3.58, 3 Er 3.53-3.55, 3 Th 3.56

Summary:
Final energy, eV/atom: -6.112
Density of states at the Fermi level, states/eV/cell: 7.88
Crystal system: monoclinic
Relative energy among the computed polymorphs, meV per atom: 15
Symmetry: P2/m

7.
Material: Y3Er2Th2
Method: DFT, PBE
State: optimized geometry

Unit cell a=6.1501 b=6.1501 c=10.6471 alpha=95.47 beta=95.47 gamma=33.70
Last column: nearest neighbours and their distance in Å.
Fractional coordinates of all 7 atoms:
Y1 0.0000 0.0000 0.0000  4 Th 3.52, 6 Er 3.55-3.58, 2 Y 3.57
Y2 0.1417 0.1417 0.5720  2 Er 3.53, 5 Y 3.53-3.58, 5 Th 3.54-3.59
Y3 0.8583 0.8583 0.4280  2 Er 3.53, 5 Y 3.53-3.58, 5 Th 3.54-3.59
Er1 0.2844 0.2844 0.1459  3 Th 3.52-3.53, 5 Y 3.53-3.58, 4 Er 3.57-3.60
Er2 0.7156 0.7156 0.8541  3 Th 3.52-3.53, 5 Y 3.53-3.58, 4 Er 3.57-3.60
Th1 0.4304 0.4304 0.7172  3 Er 3.52-3.53, 7 Y 3.52-3.59, 2 Th 3.57
Th2 0.5696 0.5696 0.2828  3 Er 3.52-3.53, 7 Y 3.52-3.59, 2 Th 3.57

Summary:
Final energy, eV/atom: -6.152
Density of states at the Fermi level, states/eV/cell: 10.12
Crystal system: monoclinic
Relative energy among the computed polymorphs, meV per atom: 0
Symmetry: C2/m

8.
Material: Y5Er4Th2
Method: DFT, PBE
State: optimized geometry

Unit cell a=3.5320 b=8.8319 c=11.2332 alpha=89.13 beta=89.71 gamma=89.70
Last column: nearest neighbours and their distance in Å.
Fractional coordinates of all 11 atoms:
Y1 0.0000 0.0000 0.0000  4 Er 3.19-3.43, 4 Y 3.44-3.53
Y2 0.2436 0.1819 0.4786  5 Er 3.41-3.63, 3 Th 3.43-3.54, 4 Y 3.53-3.71
Y3 0.2699 0.3584 0.9112  5 Y 3.44-3.73, 5 Er 3.50-3.84, 2 Th 3.60-3.67
Y4 0.7301 0.6416 0.0888  5 Y 3.44-3.73, 5 Er 3.50-3.84, 2 Th 3.60-3.67
Y5 0.7564 0.8181 0.5214  5 Er 3.41-3.63, 3 Th 3.43-3.54, 4 Y 3.53-3.71
Er1 0.2563 0.7329 0.7962  5 Y 3.43-3.77, 2 Th 3.50-3.53, 4 Er 3.53-3.69
Er2 0.2832 0.9157 0.2625  5 Y 3.19-3.54, 1 Th 3.46, 3 Er 3.53-3.56
Er3 0.7168 0.0843 0.7375  5 Y 3.19-3.54, 1 Th 3.46, 3 Er 3.53-3.56
Er4 0.7437 0.2671 0.2038  5 Y 3.43-3.77, 2 Th 3.50-3.53, 4 Er 3.53-3.69
Th1 0.2488 0.5432 0.3620  5 Y 3.43-3.67, 3 Er 3.46-3.53, 4 Th 3.53-3.65
Th2 0.7512 0.4568 0.6380  5 Y 3.43-3.67, 3 Er 3.46-3.53, 4 Th 3.53-3.65

Summary:
Final energy, eV/atom: -5.893
Density of states at the Fermi level, states/eV/cell: 17.53
Crystal system: triclinic
Relative energy among the computed polymorphs, meV per atom: 0
Symmetry: P-1

9.
Material: YErTh3
Method: DFT, PBE
State: optimized geometry

Unit cell a=7.3807 b=7.3807 c=7.3807 alpha=70.41 beta=70.41 gamma=70.41
Last column: nearest neighbours and their distance in Å.
Fractional coordinates of all 10 atoms:
Y1 0.0893 0.0893 0.0893  1 Y 2.95, 3 Th 3.24
Y2 0.9107 0.9107 0.9107  1 Y 2.95, 3 Th 3.24
Er1 0.4061 0.4061 0.4061  1 Er 3.10, 6 Th 3.17-3.44
Er2 0.5939 0.5939 0.5939  1 Er 3.10, 6 Th 3.17-3.44
Th1 0.0153 0.5312 0.7335  2 Er 3.17-3.44, 2 Y 3.24-3.44
Th2 0.2665 0.9847 0.4688  2 Er 3.17-3.44, 2 Y 3.24-3.44
Th3 0.4688 0.2665 0.9847  2 Er 3.17-3.44, 2 Y 3.24-3.44
Th4 0.5312 0.7335 0.0153  2 Er 3.17-3.44, 2 Y 3.24-3.44
Th5 0.7335 0.0153 0.5312  2 Er 3.17-3.44, 2 Y 3.24-3.44
Th6 0.9847 0.4688 0.2665  2 Er 3.17-3.44, 2 Y 3.24-3.44

Summary:
Final energy, eV/atom: -6.073
Density of states at the Fermi level, states/eV/cell: 16.97
Crystal system: trigonal
Relative energy among the computed polymorphs, meV per atom: 235
Symmetry: R-3

10.
Material: Y5Er2Th3
Method: DFT, PBE
State: optimized geometry

Unit cell a=6.1579 b=6.1579 c=11.3006 alpha=90.47 beta=90.47 gamma=48.34
Last column: nearest neighbours and their distance in Å.
Fractional coordinates of all 10 atoms:
Y1 0.0000 0.0000 0.0000  2 Th 3.55, 6 Y 3.55-3.58, 4 Er 3.59
Y2 0.1997 0.1997 0.5998  7 Th 3.54-3.58, 3 Y 3.55-3.57, 2 Er 3.56
Y3 0.3011 0.3011 0.8985  4 Er 3.54-3.61, 6 Y 3.55-3.60, 2 Th 3.56
Y4 0.6989 0.6989 0.1015  4 Er 3.54-3.61, 6 Y 3.55-3.60, 2 Th 3.56
Y5 0.8003 0.8003 0.4002  7 Th 3.54-3.58, 3 Y 3.55-3.57, 2 Er 3.56
Er1 0.4018 0.4018 0.2028  4 Th 3.51-3.60, 8 Y 3.54-3.61
Er2 0.5982 0.5982 0.7972  4 Th 3.51-3.60, 8 Y 3.54-3.61
Th1 0.0974 0.0974 0.2993  3 Er 3.51-3.60, 7 Y 3.54-3.58, 2 Th 3.57
Th2 0.5000 0.5000 0.5000  2 Er 3.53, 6 Y 3.55-3.57, 4 Th 3.57
Th3 0.9026 0.9026 0.7007  3 Er 3.51-3.60, 7 Y 3.54-3.58, 2 Th 3.57

Summary:
Final energy, eV/atom: -6.334
Density of states at the Fermi level, states/eV/cell: 14.68
Crystal system: monoclinic
Symmetry: C2/m

11.
Material: Y4Er5Th2
Method: DFT, PBE
State: optimized geometry

Unit cell a=3.5575 b=8.6879 c=11.7570 alpha=75.34 beta=81.37 gamma=89.98
Last column: nearest neighbours and their distance in Å.
Fractional coordinates of all 11 atoms:
Y1 0.0877 0.2195 0.3234  4 Th 3.49-3.51, 4 Y 3.56-3.61, 4 Er 3.56-3.62
Y2 0.2724 0.6799 0.9555  6 Y 3.51-3.61, 6 Er 3.54-3.59
Y3 0.7276 0.3201 0.0445  6 Y 3.51-3.61, 6 Er 3.54-3.59
Y4 0.9123 0.7805 0.6766  4 Th 3.49-3.51, 4 Y 3.56-3.61, 4 Er 3.56-3.62
Er1 0.0000 0.5000 0.5000  4 Th 3.53, 6 Er 3.54-3.56, 2 Y 3.57
Er2 0.1810 0.9503 0.1382  6 Er 3.49-3.58, 2 Th 3.51, 4 Y 3.55-3.59
Er3 0.3644 0.4069 0.7721  6 Er 3.49-3.56, 1 Th 3.51, 5 Y 3.54-3.62
Er4 0.6356 0.5931 0.2279  6 Er 3.49-3.56, 1 Th 3.51, 5 Y 3.54-3.62
Er5 0.8190 0.0497 0.8618  6 Er 3.49-3.58, 2 Th 3.51, 4 Y 3.55-3.59
Th1 0.4534 0.1381 0.5927  4 Y 3.49-3.51, 5 Er 3.51-3.53, 3 Th 3.56-3.61
Th2 0.5466 0.8619 0.4073  4 Y 3.49-3.51, 5 Er 3.51-3.53, 3 Th 3.56-3.61

Summary:
Final energy, eV/atom: -5.746
Density of states at the Fermi level, states/eV/cell: 16.74
Crystal system: triclinic
Symmetry: P-1

12.
Material: Y10ErTh4
Method: DFT, PBE
State: optimized geometry

Unit cell a=8.9329 b=8.9329 c=8.9329 alpha=100.75 beta=100.75 gamma=128.82
Last column: nearest neighbours and their distance in Å.
Fractional coordinates of all 15 atoms:
Y1 0.0010 0.2110 0.7902  4 Y 3.25-3.38, 1 Er 3.27, 4 Th 3.43-3.57
Y2 0.2108 0.0010 0.7900  4 Y 3.25-3.38, 1 Er 3.27, 4 Th 3.43-3.57
Y3 0.2110 0.4208 0.2100  4 Y 3.25-3.38, 1 Er 3.27, 4 Th 3.43-3.57
Y4 0.2500 0.7500 0.5000  4 Y 3.32
Y5 0.4208 0.2108 0.2098  4 Y 3.25-3.38, 1 Er 3.27, 4 Th 3.43-3.57
Y6 0.5792 0.7892 0.7902  4 Y 3.25-3.38, 1 Er 3.27, 4 Th 3.43-3.57
Y7 0.7500 0.2500 0.5000  4 Y 3.32
Y8 0.7890 0.5792 0.7900  4 Y 3.25-3.38, 1 Er 3.27, 4 Th 3.43-3.57
Y9 0.7892 0.9990 0.2100  4 Y 3.25-3.38, 1 Er 3.27, 4 Th 3.43-3.57
Y10 0.9990 0.7890 0.2098  4 Y 3.25-3.38, 1 Er 3.27, 4 Th 3.43-3.57
Er1 0.5000 0.5000 0.0000  8 Y 3.27
Th1 0.2710 0.2717 0.5427  8 Y 3.43-3.57, 1 Er 3.68
Th2 0.2717 0.7290 0.0007  8 Y 3.43-3.57, 1 Er 3.68
Th3 0.7283 0.2710 0.9993  8 Y 3.43-3.57, 1 Er 3.68
Th4 0.7290 0.7283 0.4573  8 Y 3.43-3.57, 1 Er 3.68

Summary:
Final energy, eV/atom: -6.289
Density of states at the Fermi level, states/eV/cell: 22.53
Crystal system: tetragonal
Symmetry: I4/m